Below is a relaxed PrAlBr crystal, with properties calculated at the PBE level.

a b c (Å): 3.973 3.973 10.588
angles (deg): 90.00 90.00 90.00
Space group P4/nmm (No. 129, origin choice 2)
Asymmetric unit:
Pr: 0.250 0.250 0.244 [2 per cell]
Al: 0.250 0.750 0.000 [2 per cell]
Br: 0.250 0.250 0.632 [2 per cell]

Values from the calculation:
magnetization: 0.0 μB per formula unit
formation energy without anion corrections: -2.7 eV per formula unit